[1]
Material: SiPtAu2
Method: DFT, GGA-PBE
State: relaxed

**Space-group type**: Pm (6)
**Raw total energy**: -4.6588 eV/atom
**Formation energy without anion corrections**: -0.154 eV/atom

Unit cell a=3.340 b=4.515 c=4.755 alpha=73.11 beta=90.00 gamma=90.00
Element x y z (fractional)
Au 0.000 0.027 0.884
Au 0.500 0.218 0.302
Pt 0.000 0.644 0.478
Si 0.500 0.611 0.836


[2]
Material: SiPtAu
Method: DFT, GGA-PBE
State: relaxed

**Space-group type**: I4mm (107)
**Distance to the lowest polymorph of the same formula**: 3.685 kcal/mol of atoms
**Raw total energy**: -5.0815 eV/atom
**Formation energy without anion corrections**: -0.168 eV/atom

Unit cell a=5.228 b=5.228 c=5.228 alpha=144.39 beta=144.39 gamma=51.24
Element x y z (fractional)
Au 0.006 0.006 0.000
Pt 0.305 0.305 0.000
Si 0.690 0.690 0.000